# 1
This record from the Alexandria database describes an optimized crystal structure of Li2TlIr. The functional is PBE-GGA.

```
data_Li2TlIr
_chemical_formula_sum 'Li2 Tl1 Ir1'
_cell_length_a 2.9143
_cell_length_b 4.0528
_cell_length_c 5.5409
_cell_angle_alpha 90.00
_cell_angle_beta 93.03
_cell_angle_gamma 90.00
_symmetry_space_group_name_H-M 'P 1 2/m 1'
_symmetry_Int_Tables_number 10
_symmetry_space_group_name_Hall '-P 2y'
loop_
_atom_site_label
_atom_site_type_symbol
_atom_site_fract_x
_atom_site_fract_y
_atom_site_fract_z
Li1 Li 0.0036 0.0000 0.2908
Tl1 Tl 0.5000 0.5000 0.0000
Ir1 Ir 0.5000 0.5000 0.5000
```

Computed properties:
total moment = 0.04 μB per atom
Fermi-level density of states = 2.79 states/eV per cell
formation enthalpy at 0 K = -21 meV per atom


# 2
This record from the Alexandria database describes an optimized crystal structure of Li3TlIr. The functional is PBE-GGA.

```
data_Li3TlIr
_chemical_formula_sum 'Li3 Tl1 Ir1'
_cell_length_a 4.7081
_cell_length_b 4.7081
_cell_length_c 4.7081
_cell_angle_alpha 90.00
_cell_angle_beta 90.00
_cell_angle_gamma 90.00
_symmetry_space_group_name_H-M 'P m -3 m'
_symmetry_Int_Tables_number 221
_symmetry_space_group_name_Hall '-P 4 2 3'
loop_
_atom_site_label
_atom_site_type_symbol
_atom_site_fract_x
_atom_site_fract_y
_atom_site_fract_z
Li1 Li 0.0000 0.0000 0.5000
Tl1 Tl 0.5000 0.5000 0.5000
Ir1 Ir 0.0000 0.0000 0.0000
```

Computed properties:
total moment = 0.00 μB per atom
E above lowest polymorph = 0.000 eV per atom
Fermi-level density of states = 2.62 states/eV per cell
formation enthalpy at 0 K = 278 meV per atom


# 3
This record from the Alexandria database describes an optimized crystal structure of Li2TlIr. The functional is PBE-GGA.

```
data_Li2TlIr
_chemical_formula_sum 'Li4 Tl2 Ir2'
_cell_length_a 10.0851
_cell_length_b 3.2084
_cell_length_c 4.5477
_cell_angle_alpha 90.00
_cell_angle_beta 116.64
_cell_angle_gamma 90.00
_symmetry_space_group_name_H-M 'C 1 2/m 1'
_symmetry_Int_Tables_number 12
_symmetry_space_group_name_Hall '-C 2y'
loop_
_atom_site_label
_atom_site_type_symbol
_atom_site_fract_x
_atom_site_fract_y
_atom_site_fract_z
Li1 Li 0.2330 0.0000 0.2329
Tl1 Tl 0.0000 0.0000 0.5000
Ir1 Ir 0.0000 0.5000 0.0000
```

Computed properties:
total moment = 0.00 μB per atom
Fermi-level density of states = 2.66 states/eV per cell
formation enthalpy at 0 K = -46 meV per atom


# 4
This record from the Alexandria database describes an optimized crystal structure of Li2TlIr. The functional is PBE-GGA.

```
data_Li2TlIr
_chemical_formula_sum 'Li2 Tl1 Ir1'
_cell_length_a 2.9526
_cell_length_b 4.0039
_cell_length_c 5.6530
_cell_angle_alpha 90.00
_cell_angle_beta 90.00
_cell_angle_gamma 90.00
_symmetry_space_group_name_H-M 'P m m 2'
_symmetry_Int_Tables_number 25
_symmetry_space_group_name_Hall 'P 2 -2'
loop_
_atom_site_label
_atom_site_type_symbol
_atom_site_fract_x
_atom_site_fract_y
_atom_site_fract_z
Li1 Li 0.0000 0.0000 0.0000
Li2 Li 0.5000 0.5000 0.2519
Tl1 Tl 0.0000 0.0000 0.5229
Ir1 Ir 0.5000 0.5000 0.7861
```

Computed properties:
total moment = 0.00 μB per atom
Fermi-level density of states = 1.73 states/eV per cell
formation enthalpy at 0 K = 16 meV per atom